1.
CeGa4: relaxed, PBE.

Symmetry ... Pm-3m
Density of states at the Fermi level ... 10.46 states/eV/cell
Energy above the most stable polymorph in this dataset ... 1263 meV per atom
Calculated formation energy ... 0.818 eV per atom

Unit cell a=5.6024 b=5.6024 c=5.6024 alpha=90.00 beta=90.00 gamma=90.00
Each line ends with the local moment (μB).
Atoms (fractional coordinates):
Ce  0.5000  0.5000  0.5000  0.94
Ga  0.5000  0.5000  0.0000  0.07
Ga  0.5000  0.0000  0.5000  0.07
Ga  0.0000  0.5000  0.5000  0.07
Ga  0.0000  0.0000  0.0000  0.00

=====

2.
Na2Tl3Hg9: relaxed, PBE.

Symmetry ... Immm
Density of states at the Fermi level ... 6.79 states/eV/cell
Calculated formation energy ... -0.066 eV per atom

Unit cell a=5.1466 b=10.5951 c=9.3738 alpha=124.41 beta=105.93 gamma=90.00
Atoms (fractional coordinates):
Na  0.5000  0.3091  0.0000
Hg  0.0000  0.5000  0.0000
Tl  0.3007  0.3007  0.6013
Hg  0.3237  0.9614  0.6474
Hg  0.1246  0.8588  0.2492
Hg  0.8754  0.6096  0.7508
Tl  0.0000  0.0000  0.0000
Hg  0.8754  0.1412  0.7508
Hg  0.6763  0.3140  0.3526
Hg  0.1246  0.3904  0.2492
Tl  0.6993  0.6993  0.3987
Hg  0.3237  0.6860  0.6474
Hg  0.6763  0.0386  0.3526
Na  0.5000  0.6909  0.0000

=====

density of states at the Fermi level of number 1 (CeGa4)? 10.46 states/eV/cell